(1)
# Dy3Zn4Ag2

Dy3Zn4Ag2 after structural relaxation (PBE-GGA, Alexandria).

The total magnetization is 0.00 μB/cell. The value obtained for the formation energy is -335 meV/atom.

The structure belongs to space group C2/m (No. 12); the cell edges are 10.530, 4.547 and 8.686 Å and the angles 90.00°, 115.30° and 90.00°. The asymmetric unit holds Dy at (0.000, 0.000, 0.000), Dy at (0.171, 0.500, 0.665), Zn at (0.044, 0.000, 0.384), Zn at (0.227, 0.500, 0.055) and Ag at (0.107, 0.500, 0.273).



(2)
# Dy6Zn5Ag

Dy6Zn5Ag after structural relaxation (PBE-GGA, Alexandria).

The total magnetization is 0.00 μB/cell. The value obtained for the formation energy is -336 meV/atom.

The structure belongs to space group Cmmm (No. 65); the cell edges are 5.047, 15.145 and 7.197 Å and the angles 90.00°, 90.00° and 90.00°. The asymmetric unit holds Dy at (0.000, 0.000, 0.245), Dy at (0.000, 0.332, 0.247), Zn at (0.000, 0.167, 0.000), Zn at (0.000, 0.169, 0.500), Zn at (0.000, 0.500, 0.000) and Ag at (0.000, 0.500, 0.500).



(3)
# DyZn2Ag

DyZn2Ag after structural relaxation (PBE-GGA, Alexandria).

The total magnetization is 0.00 μB/cell. The value obtained for the formation energy is -166 meV/atom.

The structure belongs to space group P4/mmm (No. 123); the cell edges are 4.301, 4.301 and 4.372 Å and the angles 90.00°, 90.00° and 90.00°. The asymmetric unit holds Dy at (0.000, 0.000, 0.000), Zn at (0.000, 0.500, 0.500) and Ag at (0.500, 0.500, 0.000).



(4)
# DyZn2Ag2

DyZn2Ag2 after structural relaxation (PBE-GGA, Alexandria).

The total magnetization is 0.00 μB/cell. The value obtained for the energy above the most stable polymorph in this dataset is 0 meV/atom. The value obtained for the formation energy is -228 meV/atom.

The structure belongs to space group P-1 (No. 2); the cell edges are 4.839, 5.629 and 8.159 Å and the angles 73.43°, 73.09° and 65.58°. The asymmetric unit holds Dy at (0.249, 0.251, 0.250), Zn at (0.129, 0.762, 0.988), Zn at (0.372, 0.738, 0.511), Ag at (0.086, 0.161, 0.670) and Ag at (0.415, 0.337, 0.831).



(5)
# Dy2Zn5Ag5

Dy2Zn5Ag5 after structural relaxation (PBE-GGA, Alexandria).

The total magnetization is 0.00 μB/cell. The value obtained for the energy above the most stable polymorph in this dataset is 0 meV/atom. The value obtained for the formation energy is -225 meV/atom.

The structure belongs to space group Pmmm (No. 47); the cell edges are 4.542, 5.273 and 9.423 Å and the angles 90.00°, 90.00° and 90.00°. The asymmetric unit holds Dy at (0.000, 0.000, 0.000), Dy at (0.000, 0.500, 0.500), Zn at (0.500, 0.000, 0.500), Zn at (0.500, 0.250, 0.255), Ag at (0.000, 0.000, 0.334), Ag at (0.000, 0.500, 0.176) and Ag at (0.500, 0.500, 0.000).



(6)
# DyZnAg3

DyZnAg3 after structural relaxation (PBE-GGA, Alexandria).

The total magnetization is 0.00 μB/cell. The value obtained for the energy above the most stable polymorph in this dataset is 0 meV/atom. The value obtained for the formation energy is -207 meV/atom.

The structure belongs to space group P2_1/m (No. 11); the cell edges are 6.069, 4.662 and 6.888 Å and the angles 90.00°, 94.86° and 90.00°. The asymmetric unit holds Dy at (0.249, 0.250, 0.261), Zn at (0.442, 0.250, 0.687), Ag at (0.059, 0.250, 0.823), Ag at (0.203, 0.750, 0.552) and Ag at (0.329, 0.750, 0.960).



(7)
# DyZn9Ag2

DyZn9Ag2 after structural relaxation (PBE-GGA, Alexandria).

The total magnetization is 0.01 μB/cell. The value obtained for the energy above the most stable polymorph in this dataset is 65 meV/atom. The value obtained for the formation energy is -72 meV/atom.

The structure belongs to space group P6/mmm (No. 191); the cell edges are 8.8041, 8.8041 and 3.0365 Å and the angles 90.00°, 90.00° and 120.00°. The asymmetric unit holds Dy at (0.0000, 0.0000, 0.0000), Zn at (0.0000, 0.5000, 0.0000), Zn at (0.1792, 0.3584, 0.5000) and Ag at (0.3333, 0.6667, 0.0000).



(8)
# Dy2ZnAg2

Dy2ZnAg2 after structural relaxation (PBE-GGA, Alexandria).

The total magnetization is 0.00 μB/cell. The value obtained for the energy above the most stable polymorph in this dataset is 0 meV/atom. The value obtained for the formation energy is -283 meV/atom.

The structure belongs to space group C2/m (No. 12); the cell edges are 10.648, 3.931 and 11.647 Å and the angles 90.00°, 111.42° and 90.00°. The asymmetric unit holds Dy at (0.009, 0.000, 0.168), Dy at (0.187, 0.000, 0.608), Zn at (0.202, 0.500, 0.816), Ag at (0.032, 0.500, 0.389) and Ag at (0.156, 0.500, 0.043).



(9)
# DyZn10Ag2

DyZn10Ag2 after structural relaxation (PBE-GGA, Alexandria).

The total magnetization is 0.00 μB/cell. The value obtained for the formation energy is -134 meV/atom.

The structure belongs to space group Fmmm (No. 69); the cell edges are 5.430, 12.426 and 12.803 Å and the angles 90.00°, 90.00° and 90.00°. The asymmetric unit holds Dy at (0.000, 0.000, 0.000), Zn at (0.000, 0.109, 0.396), Zn at (0.000, 0.180, 0.174), Zn at (0.250, 0.250, 0.000) and Ag at (0.250, 0.000, 0.250).



(10)
# DyZn3Ag

DyZn3Ag after structural relaxation (PBE-GGA, Alexandria).

The total magnetization is 0.00 μB/cell. The value obtained for the energy above the most stable polymorph in this dataset is 4 meV/atom. The value obtained for the formation energy is -243 meV/atom.

The structure belongs to space group P2_1/m (No. 11); the cell edges are 5.407, 5.426 and 6.271 Å and the angles 90.00°, 90.70° and 90.00°. The asymmetric unit holds Dy at (0.150, 0.250, 0.160), Zn at (0.354, 0.009, 0.679), Zn at (0.360, 0.750, 0.038) and Ag at (0.084, 0.750, 0.387).



(11)
# Dy3Zn2Ag2

Dy3Zn2Ag2 after structural relaxation (PBE-GGA, Alexandria).

The total magnetization is 0.00 μB/cell. The value obtained for the formation energy is -265 meV/atom.

The structure belongs to space group P-1 (No. 2); the cell edges are 4.804, 5.717 and 6.513 Å and the angles 77.56°, 89.99° and 65.23°. The asymmetric unit holds Dy at (0.000, 0.000, 0.000), Dy at (0.349, 0.303, 0.265), Zn at (0.108, 0.784, 0.451) and Ag at (0.346, 0.308, 0.759).



(12)
# Dy2Zn12Ag5

Dy2Zn12Ag5 after structural relaxation (PBE-GGA, Alexandria).

The total magnetization is 0.00 μB/cell. The value obtained for the formation energy is -171 meV/atom.

The structure belongs to space group R-3m (No. 166, hexagonal axes); the cell edges are 9.2034, 9.2034 and 13.3998 Å and the angles 90.00°, 90.00° and 120.00°. The asymmetric unit holds Dy at (0.0000, 0.0000, 0.1585), Zn at (0.0000, 0.3041, 0.5000), Zn at (0.0146, 0.5073, 0.6542), Ag at (0.0000, 0.0000, 0.3962) and Ag at (0.0000, 0.5000, 0.0000).